# 1
# KLi6ZrO6

An optimized crystal structure of KLi6ZrO6 (PBE-GGA, the Open Quantum Materials Database).

Cell lengths 5.413, 5.413, 5.413 Å; angles 101.32, 101.32, 101.32 degrees
Fractional positions:
K (0.000, 0.000, 0.000)
Li (0.155, 0.500, 0.845)
Li (0.155, 0.845, 0.500)
Li (0.500, 0.155, 0.845)
Li (0.500, 0.845, 0.155)
Li (0.845, 0.155, 0.500)
Li (0.845, 0.500, 0.155)
Zr (0.500, 0.500, 0.500)
O (0.221, 0.221, 0.595)
O (0.221, 0.595, 0.221)
O (0.405, 0.779, 0.779)
O (0.595, 0.221, 0.221)
O (0.779, 0.405, 0.779)
O (0.779, 0.779, 0.405)

- final energy (eV/atom) = -5.6992
- total moment (μB per cell) = 1.00

# 2
# KScCoSe3

An optimized crystal structure of KScCoSe3 (PBE-GGA, the Open Quantum Materials Database).

Cell lengths 8.925, 3.869, 9.496 Å; angles 90.00, 110.92, 90.00 degrees
Fractional positions:
K (0.207, 0.250, 0.237)
K (0.793, 0.750, 0.763)
Sc (0.332, 0.750, 0.860)
Sc (0.668, 0.250, 0.140)
Co (0.075, 0.250, 0.593)
Co (0.925, 0.750, 0.407)
Se (0.117, 0.250, 0.856)
Se (0.200, 0.750, 0.540)
Se (0.464, 0.750, 0.161)
Se (0.536, 0.250, 0.839)
Se (0.800, 0.250, 0.460)
Se (0.883, 0.750, 0.144)

- final energy (eV/atom) = -5.2783
- total moment (μB per cell) = 3.97

# 3
# MgSi2Au

An optimized crystal structure of MgSi2Au (PBE-GGA, the Open Quantum Materials Database).

Cell lengths 4.614, 4.614, 4.614 Å; angles 60.00, 60.00, 60.00 degrees
Fractional positions:
Mg (0.000, 0.000, 0.000)
Si (0.500, 0.500, 0.500)
Si (0.750, 0.750, 0.750)
Au (0.250, 0.250, 0.250)

- final energy (eV/atom) = -3.7286

# 4
# GdHoZn4

An optimized crystal structure of GdHoZn4 (PBE-GGA, the Open Quantum Materials Database).

Cell lengths 5.645, 5.645, 5.645 Å; angles 133.35, 101.97, 96.09 degrees
Fractional positions:
Gd (0.000, 0.000, 0.000)
Ho (0.440, 0.940, 0.500)
Zn (0.010, 0.304, 0.706)
Zn (0.430, 0.635, 0.794)
Zn (0.598, 0.304, 0.294)
Zn (0.841, 0.635, 0.206)

- calculated formation energy (eV/atom) = -0.391
- total moment (μB per cell) = 0.02

# 5
# LiCu3Te4Mo

An optimized crystal structure of LiCu3Te4Mo (PBE-GGA, the Open Quantum Materials Database).

Cell lengths 6.044, 6.044, 6.044 Å; angles 90.00, 90.00, 90.00 degrees
Fractional positions:
Li (0.000, 0.000, 0.000)
Cu (0.000, 0.500, 0.500)
Cu (0.500, 0.000, 0.500)
Cu (0.500, 0.500, 0.000)
Te (0.249, 0.249, 0.249)
Te (0.249, 0.751, 0.751)
Te (0.751, 0.249, 0.751)
Te (0.751, 0.751, 0.249)
Mo (0.500, 0.500, 0.500)

- final energy (eV/atom) = -4.1550
- total moment (μB per cell) = 2.00

# 6
# YZrCoAs

An optimized crystal structure of YZrCoAs (PBE-GGA, the Open Quantum Materials Database).

Cell lengths 4.680, 4.680, 4.680 Å; angles 60.00, 60.00, 60.00 degrees
Fractional positions:
Y (0.000, 0.000, 0.000)
Zr (0.250, 0.250, 0.250)
Co (0.750, 0.750, 0.750)
As (0.500, 0.500, 0.500)

- ΔE to the lowest computed polymorph (meV/atom) = 0.0
- total moment (μB per cell) = 1.34

# 7
# AlTc

An optimized crystal structure of AlTc (PBE-GGA, the Open Quantum Materials Database).

Cell lengths 3.558, 3.558, 3.558 Å; angles 60.00, 60.00, 60.00 degrees
Fractional positions:
Al (0.000, 0.000, 0.000)
Tc (0.500, 0.500, 0.500)

- ΔE to the lowest computed polymorph (meV/atom) = 807.3
- total moment (μB per cell) = 0.75

# 8
# InAgTe2MoS

An optimized crystal structure of InAgTe2MoS (PBE-GGA, the Open Quantum Materials Database).

Cell lengths 7.498, 7.498, 10.031 Å; angles 90.00, 90.00, 148.65 degrees
Fractional positions:
In (0.229, 0.771, 0.750)
In (0.771, 0.229, 0.250)
Ag (0.025, 0.975, 0.250)
Ag (0.975, 0.025, 0.750)
Te (0.138, 0.862, 0.036)
Te (0.138, 0.862, 0.464)
Te (0.862, 0.138, 0.536)
Te (0.862, 0.138, 0.964)
Mo (0.500, 0.500, 0.000)
Mo (0.500, 0.500, 0.500)
S (0.426, 0.574, 0.250)
S (0.574, 0.426, 0.750)

- final energy (eV/atom) = -4.4715
- total moment (μB per cell) = 4.00

# 9
# ZrReNO

An optimized crystal structure of ZrReNO (PBE-GGA, the Open Quantum Materials Database).

Cell lengths 5.471, 7.441, 5.161 Å; angles 90.00, 90.00, 90.00 degrees
Fractional positions:
Zr (0.072, 0.179, 0.000)
Zr (0.428, 0.179, 0.500)
Zr (0.572, 0.821, 0.000)
Zr (0.928, 0.821, 0.500)
Re (0.008, 0.568, 0.021)
Re (0.492, 0.568, 0.521)
Re (0.508, 0.432, 0.021)
Re (0.992, 0.432, 0.521)
N (0.179, 0.643, 0.691)
N (0.321, 0.643, 0.191)
N (0.679, 0.357, 0.691)
N (0.821, 0.357, 0.191)
O (0.125, 0.043, 0.652)
O (0.375, 0.043, 0.152)
O (0.625, 0.957, 0.652)
O (0.875, 0.957, 0.152)

- ΔE to the lowest computed polymorph (meV/atom) = 0.0
- total moment (μB per cell) = 0.01

# 10
# Nd2Sm2INCl4

An optimized crystal structure of Nd2Sm2INCl4 (PBE-GGA, the Open Quantum Materials Database).

Cell lengths 8.921, 8.921, 8.604 Å; angles 105.49, 105.49, 24.85 degrees
Fractional positions:
Nd (0.145, 0.145, 0.083)
Nd (0.855, 0.855, 0.917)
Sm (0.500, 0.500, 0.192)
Sm (0.500, 0.500, 0.808)
I (0.000, 0.000, 0.500)
N (0.000, 0.000, 0.000)
Cl (0.331, 0.331, 0.149)
Cl (0.335, 0.335, 0.670)
Cl (0.665, 0.665, 0.330)
Cl (0.669, 0.669, 0.851)

- final energy (eV/atom) = -5.3798
- total moment (μB per cell) = 0.00

# 11
# Lu2Hf4Co3C3

An optimized crystal structure of Lu2Hf4Co3C3 (PBE-GGA, the Open Quantum Materials Database).

Cell lengths 5.664, 5.664, 13.616 Å; angles 102.73, 102.73, 59.98 degrees
Fractional positions:
Lu (0.043, 0.876, 0.620)
Lu (0.124, 0.957, 0.880)
Lu (0.876, 0.043, 0.120)
Lu (0.957, 0.124, 0.380)
Hf (0.199, 0.361, 0.094)
Hf (0.295, 0.474, 0.405)
Hf (0.361, 0.199, 0.594)
Hf (0.474, 0.295, 0.905)
Hf (0.526, 0.705, 0.095)
Hf (0.639, 0.801, 0.406)
Hf (0.705, 0.526, 0.595)
Hf (0.801, 0.639, 0.906)
Co (0.086, 0.405, 0.750)
Co (0.405, 0.086, 0.250)
Co (0.419, 0.581, 0.250)
Co (0.581, 0.419, 0.750)
Co (0.595, 0.914, 0.750)
Co (0.914, 0.595, 0.250)
C (0.000, 0.500, 0.500)
C (0.171, 0.658, 0.000)
C (0.342, 0.829, 0.500)
C (0.500, 0.000, 0.000)
C (0.658, 0.171, 0.500)
C (0.829, 0.342, 0.000)

- final energy (eV/atom) = -8.6102
- total moment (μB per cell) = 0.01

# 12
# BaAlGaPd2

An optimized crystal structure of BaAlGaPd2 (PBE-GGA, the Open Quantum Materials Database).

Cell lengths 4.514, 4.514, 10.774 Å; angles 90.00, 90.00, 90.00 degrees
Fractional positions:
Ba (0.250, 0.250, 0.244)
Ba (0.750, 0.750, 0.756)
Al (0.250, 0.750, 0.500)
Al (0.750, 0.250, 0.500)
Ga (0.250, 0.250, 0.885)
Ga (0.750, 0.750, 0.115)
Pd (0.250, 0.250, 0.621)
Pd (0.250, 0.750, 0.000)
Pd (0.750, 0.250, 0.000)
Pd (0.750, 0.750, 0.379)

- final energy (eV/atom) = -4.4911